(1)
The following is a PBE-GGA calculation of a geometry-optimized Sr2LiIn3 structure, from Alexandria.

Lattice parameters (Å, degrees): 6.4656 6.4656 10.2993 113.43 113.43 74.53
Fractional positions:
1 Sr 0.7504 0.2496 0.0000
2 Sr 0.2496 0.7504 0.0000
3 Sr 0.7500 0.2500 0.5000
4 Sr 0.2500 0.7500 0.5000
5 Li 0.3331 0.3331 0.6662
6 Li 0.6669 0.6669 0.3338
7 In 0.1708 0.1708 0.3417
8 In 0.8321 0.8321 0.1708
9 In 0.3388 0.3388 0.1708
10 In 0.1679 0.1679 0.8292
11 In 0.6612 0.6612 0.8292
12 In 0.8292 0.8292 0.6583

Properties
The energy above the most stable polymorph in this dataset is 17 meV per atom. The total energy is -31.6 eV/cell. The space group is Fmmm, No. 69. As for the formation energy: -2.29 eV per formula unit. For the density, the calculation gives 4866 kg/m3.

=====

(2)
The following is a PBE-GGA calculation of a geometry-optimized PuTaNb structure, from Alexandria.

Lattice parameters (Å, degrees): 5.7773 5.5770 5.3947 73.90 57.62 58.80
Site moments in Bohr magnetons follow the coordinates.
Fractional positions:
1 Ta 0.2500 0.5000 0.5000  -0.10
2 Ta 0.7500 0.5000 0.5000  -0.10
3 Pu 0.8538 0.2924 0.0000  4.89
4 Pu 0.1462 0.7076 0.0000  4.89
5 Nb 0.6590 0.0000 0.6819  -0.41
6 Nb 0.3410 0.0000 0.3181  -0.41

Properties
The energy above the most stable polymorph in this dataset is 161 meV per atom. The total energy is -70.0 eV/cell. The space group is Fmmm, No. 69. As for the formation energy: 1.27 eV per formula unit. For the density, the calculation gives 13696 kg/m3.

=====

(3)
The following is a PBE-GGA calculation of a geometry-optimized LiTaCu2 structure, from Alexandria.

Lattice parameters (Å, degrees): 5.0694 5.0694 4.6796 76.20 76.20 29.86
Fractional positions:
1 Ta 0.7256 0.7256 0.8122
2 Cu 0.9777 0.9777 0.9597
3 Cu 0.2776 0.2776 0.2895
4 Li 0.5191 0.5191 0.4386

Properties
The total energy is -21.4 eV/cell. The space group is Cm, No. 8. As for the formation energy: 0.57 eV per formula unit. For the density, the calculation gives 9014 kg/m3.

=====

(4)
The following is a PBE-GGA calculation of a geometry-optimized ZrAlAs2 structure, from Alexandria.

Lattice parameters (Å, degrees): 3.5797 3.5797 5.8346 90.00 90.00 90.00
Fractional positions:
1 Al 0.5000 0.5000 0.7500
2 As 0.0000 0.0000 0.4905
3 As 0.0000 0.0000 0.0095
4 Zr 0.5000 0.5000 0.2500

Properties
The total energy is -23.6 eV/cell. The space group is P4/mmm, No. 123. As for the formation energy: -2.03 eV per formula unit. For the density, the calculation gives 5953 kg/m3.